! Ac2PuNi3O12, optimized geometry, DFT PBE+U; values from VASP
! Fermi-level density of states: 7.66 states/eV per cell
! Space group: R-3m
! Crystal system: trigonal
! Calculated total energy: -0.4824 Ry per atom
&SYSTEM
  ibrav = 0, nat = 18, ntyp = 4
/
ATOMIC_SPECIES
Ac 227.00 Ac.upf
Pu 244.00 Pu.upf
Ni 58.69 Ni.upf
O 16.00 O.upf
CELL_PARAMETERS angstrom
3.388 1.956 5.317
-3.388 1.956 5.317
0.000 -3.912 5.317
ATOMIC_POSITIONS crystal
Ac 0.111 0.111 0.111
Ac 0.889 0.889 0.889
Pu 0.500 0.500 0.500
Ni 0.000 0.500 0.500
Ni 0.500 0.000 0.500
Ni 0.500 0.500 0.000
O 0.081 0.634 0.634
O 0.226 0.226 0.632
O 0.226 0.632 0.226
O 0.366 0.366 0.919
O 0.366 0.919 0.366
O 0.368 0.774 0.774
O 0.632 0.226 0.226
O 0.634 0.081 0.634
O 0.634 0.634 0.081
O 0.774 0.368 0.774
O 0.774 0.774 0.368
O 0.919 0.366 0.366